[1]
Entry from Alexandria: DyHoTl after structural relaxation (PBE).

Lattice parameters (Å, degrees): 5.3981 5.3981 6.7154 90.00 90.00 120.01
Closest atoms and distances in Å follow each position.
Fractional positions:
Dy (0.3332, 0.1668, 0.7500)  5 Tl 3.12-3.36
Dy (0.6668, 0.8332, 0.2500)  5 Tl 3.12-3.36
Ho (0.0000, 0.5000, 0.0000)  2 Ho 3.36, 6 Dy 3.54, 6 Tl 3.54
Ho (0.0000, 0.5000, 0.5000)  2 Ho 3.36, 6 Dy 3.54, 6 Tl 3.54
Tl (0.6666, 0.8334, 0.7500)  5 Dy 3.12-3.36
Tl (0.3334, 0.1666, 0.2500)  5 Dy 3.12-3.36

Summary:
spin magnetization	0.5	μB per formula unit
ΔE_f	-254.7	meV per atom
ρ	10.4	g/cm3
energy relative to the lowest polymorph listed for this composition	0.001	eV per atom

=====

[2]
Entry from Alexandria: Ga2BiS after structural relaxation (PBE).

Lattice parameters (Å, degrees): 5.0236 5.0236 5.0236 60.00 60.00 60.00
Closest atoms and distances in Å follow each position.
Fractional positions:
S (0.0000, 0.0000, 0.0000)  8 Ga 3.08
Bi (0.5000, 0.5000, 0.5000)  8 Ga 3.08
Ga (0.2500, 0.2500, 0.2500)  4 Bi 3.08, 4 S 3.08
Ga (0.7500, 0.7500, 0.7500)  4 Bi 3.08, 4 S 3.08

Summary:
spin magnetization	0.0	μB per formula unit
raw formation energy	0.149	eV per atom
ρ	7.0	g/cm3
energy relative to the lowest polymorph listed for this composition	0.240	eV per atom